## Nd6HoEr3 (PBE)

Data for crystalline Nd6HoEr3 at its relaxed geometry.

Cell lengths 11.1221, 11.1221, 6.3552 Å; angles 90.00, 90.00, 120.89 degrees
Element x y z (fractional)
Nd (0.0358, 0.9642, 0.5000)
Nd (0.0591, 0.4815, 0.0381)
Nd (0.2810, 0.7190, 0.7406)
Nd (0.2873, 0.3727, 0.8462)
Nd (0.3727, 0.2873, 0.3462)
Nd (0.4815, 0.0591, 0.5381)
Nd (0.5185, 0.9409, 0.0381)
Nd (0.6273, 0.7127, 0.8462)
Nd (0.7127, 0.6273, 0.3462)
Nd (0.7190, 0.2810, 0.2406)
Nd (0.9409, 0.5185, 0.5381)
Nd (0.9642, 0.0358, 0.0000)
Ho (0.1952, 0.8048, 0.2820)
Ho (0.8048, 0.1952, 0.7820)
Er (0.0535, 0.2813, 0.4234)
Er (0.2813, 0.0535, 0.9234)
Er (0.3861, 0.6139, 0.3109)
Er (0.6139, 0.3861, 0.8109)
Er (0.7187, 0.9465, 0.4234)
Er (0.9465, 0.7187, 0.9234)

Properties
**DOS at the Fermi energy**: 13.96 states/eV/f.u.
**Mass density**: 7.5 g cm⁻³
**Symmetry**: Cmc2_1
**E_form**: 0.14 eV/atom
**Relative energy among the computed polymorphs**: 0 meV per atom

***

## Nd6Ho7Er16 (PBE)

Data for crystalline Nd6Ho7Er16 at its relaxed geometry.

Cell lengths 11.1126, 11.1126, 11.1126 Å; angles 60.00, 60.00, 60.00 degrees
Element x y z (fractional)
Nd (0.2277, 0.2277, 0.7723)
Nd (0.2277, 0.7723, 0.2277)
Nd (0.2277, 0.7723, 0.7723)
Nd (0.7723, 0.2277, 0.2277)
Nd (0.7723, 0.2277, 0.7723)
Nd (0.7723, 0.7723, 0.2277)
Ho (0.0000, 0.0000, 0.5000)
Ho (0.0000, 0.5000, 0.0000)
Ho (0.0000, 0.5000, 0.5000)
Ho (0.5000, 0.0000, 0.0000)
Ho (0.5000, 0.0000, 0.5000)
Ho (0.5000, 0.5000, 0.0000)
Ho (0.5000, 0.5000, 0.5000)
Er (0.1215, 0.6262, 0.6262)
Er (0.1512, 0.1512, 0.1512)
Er (0.1512, 0.1512, 0.5463)
Er (0.1512, 0.5463, 0.1512)
Er (0.3738, 0.3738, 0.3738)
Er (0.3738, 0.3738, 0.8785)
Er (0.3738, 0.8785, 0.3738)
Er (0.4537, 0.8488, 0.8488)
Er (0.5463, 0.1512, 0.1512)
Er (0.6262, 0.1215, 0.6262)
Er (0.6262, 0.6262, 0.1215)
Er (0.6262, 0.6262, 0.6262)
Er (0.8488, 0.4537, 0.8488)
Er (0.8488, 0.8488, 0.4537)
Er (0.8488, 0.8488, 0.8488)
Er (0.8785, 0.3738, 0.3738)

Properties
**DOS at the Fermi energy**: 58.64 states/eV/f.u.
**Mass density**: 8.0 g cm⁻³
**Symmetry**: Fm-3m
**E_form**: 0.24 eV/atom

***

## Nd12HoEr3 (PBE)

Data for crystalline Nd12HoEr3 at its relaxed geometry.

Cell lengths 5.1459, 5.1459, 20.5304 Å; angles 90.00, 90.00, 90.00 degrees
Element x y z (fractional)
Nd (0.0000, 0.0000, 0.0000)
Nd (0.0000, 0.0000, 0.2502)
Nd (0.0000, 0.0000, 0.5000)
Nd (0.0000, 0.0000, 0.7498)
Nd (0.0000, 0.5000, 0.1252)
Nd (0.0000, 0.5000, 0.3750)
Nd (0.0000, 0.5000, 0.6250)
Nd (0.0000, 0.5000, 0.8748)
Nd (0.5000, 0.0000, 0.1252)
Nd (0.5000, 0.0000, 0.3750)
Nd (0.5000, 0.0000, 0.6250)
Nd (0.5000, 0.0000, 0.8748)
Ho (0.5000, 0.5000, 0.0000)
Er (0.5000, 0.5000, 0.2502)
Er (0.5000, 0.5000, 0.5000)
Er (0.5000, 0.5000, 0.7498)

Properties
**DOS at the Fermi energy**: 23.93 states/eV/f.u.
**Mass density**: 7.3 g cm⁻³
**Symmetry**: P4/mmm
**E_form**: 0.01 eV/atom

***

## Nd5Ho6Er2 (PBE)

Data for crystalline Nd5Ho6Er2 at its relaxed geometry.

Cell lengths 11.6333, 20.5367, 3.5935 Å; angles 90.00, 90.00, 90.00 degrees
Element x y z (fractional)
Nd (0.0000, 0.0000, 0.0000)
Nd (0.0837, 0.2727, 0.0000)
Nd (0.1984, 0.5510, 0.0000)
Nd (0.3016, 0.0510, 0.0000)
Nd (0.4163, 0.7727, 0.0000)
Nd (0.5000, 0.5000, 0.0000)
Nd (0.5837, 0.2273, 0.0000)
Nd (0.6984, 0.9490, 0.0000)
Nd (0.8016, 0.4490, 0.0000)
Nd (0.9163, 0.7273, 0.0000)
Ho (0.0620, 0.4187, 0.5000)
Ho (0.0808, 0.1317, 0.5000)
Ho (0.1747, 0.8613, 0.0000)
Ho (0.3253, 0.3613, 0.0000)
Ho (0.4192, 0.6317, 0.5000)
Ho (0.4380, 0.9187, 0.5000)
Ho (0.5620, 0.0813, 0.5000)
Ho (0.5808, 0.3683, 0.5000)
Ho (0.6747, 0.6387, 0.0000)
Ho (0.8253, 0.1387, 0.0000)
Ho (0.9192, 0.8683, 0.5000)
Ho (0.9380, 0.5813, 0.5000)
Er (0.1711, 0.7105, 0.5000)
Er (0.3289, 0.2105, 0.5000)
Er (0.6711, 0.7895, 0.5000)
Er (0.8289, 0.2895, 0.5000)

Properties
**DOS at the Fermi energy**: 15.53 states/eV/f.u.
**Mass density**: 7.9 g cm⁻³
**Symmetry**: Pbam
**E_form**: 0.09 eV/atom

***

## Nd4HoEr4 (PBE)

Data for crystalline Nd4HoEr4 at its relaxed geometry.

Cell lengths 8.9381, 8.9381, 6.7876 Å; angles 112.31, 112.31, 36.61 degrees
Element x y z (fractional)
Nd (0.1333, 0.1333, 0.3087)
Nd (0.2800, 0.2800, 0.8455)
Nd (0.7200, 0.7200, 0.1545)
Nd (0.8667, 0.8667, 0.6913)
Ho (0.5000, 0.5000, 0.0000)
Er (0.0708, 0.0708, 0.7682)
Er (0.3790, 0.3790, 0.4264)
Er (0.6210, 0.6210, 0.5736)
Er (0.9292, 0.9292, 0.2318)

Properties
**DOS at the Fermi energy**: 14.91 states/eV/f.u.
**Mass density**: 7.9 g cm⁻³
**Symmetry**: C2/m
**E_form**: 0.11 eV/atom
**Relative energy among the computed polymorphs**: 86 meV per atom

***

## NdHo6Er4 (PBE)

Data for crystalline NdHo6Er4 at its relaxed geometry.

Cell lengths 8.4408, 8.4408, 8.4408 Å; angles 126.69, 126.69, 78.76 degrees
Element x y z (fractional)
Nd (0.0000, 0.0000, 0.0000)
Ho (0.0000, 0.5000, 0.5000)
Ho (0.0574, 0.5702, 0.0000)
Ho (0.4298, 0.4298, 0.4872)
Ho (0.5000, 0.0000, 0.5000)
Ho (0.5702, 0.0574, 0.0000)
Ho (0.9426, 0.9426, 0.5128)
Er (0.2595, 0.2595, 0.6747)
Er (0.4152, 0.7405, 0.0000)
Er (0.5848, 0.5848, 0.3253)
Er (0.7405, 0.4152, 0.0000)

Properties
**DOS at the Fermi energy**: 16.05 states/eV/f.u.
**Mass density**: 8.0 g cm⁻³
**Symmetry**: I-42m
**E_form**: 0.44 eV/atom
**Relative energy among the computed polymorphs**: 320 meV per atom